# 1
An optimized crystal structure of Nd3Sc5Se12. Source: the Alexandria database, functional GGA-PBE. Values from VASP.

**DFT total energy**: -6.05 eV/atom
**Calculated volume**: 27.96 Å³/atom

Structure (Quantum ESPRESSO input):
```
&SYSTEM
  ibrav = 0, nat = 80, ntyp = 3
/
ATOMIC_SPECIES
Nd 144.24 Nd.upf
Sc 44.96 Sc.upf
Se 78.96 Se.upf
ATOMIC_POSITIONS crystal
Nd 0.125 0.250 0.375
Nd 0.125 0.375 0.750
Nd 0.250 0.375 0.125
Nd 0.250 0.875 0.625
Nd 0.375 0.125 0.250
Nd 0.375 0.750 0.125
Nd 0.625 0.250 0.875
Nd 0.625 0.875 0.750
Nd 0.750 0.125 0.375
Nd 0.750 0.625 0.875
Nd 0.875 0.625 0.250
Nd 0.875 0.750 0.625
Sc 0.000 0.000 0.000
Sc 0.000 0.000 0.500
Sc 0.000 0.500 0.000
Sc 0.000 0.500 0.500
Sc 0.125 0.750 0.875
Sc 0.125 0.875 0.250
Sc 0.250 0.125 0.875
Sc 0.250 0.625 0.375
Sc 0.375 0.250 0.625
Sc 0.375 0.625 0.750
Sc 0.500 0.000 0.000
Sc 0.500 0.000 0.500
Sc 0.500 0.500 0.000
Sc 0.500 0.500 0.500
Sc 0.625 0.375 0.250
Sc 0.625 0.750 0.375
Sc 0.750 0.375 0.625
Sc 0.750 0.875 0.125
Sc 0.875 0.125 0.750
Sc 0.875 0.250 0.125
Se 0.038 0.214 0.125
Se 0.038 0.324 0.913
Se 0.087 0.625 0.411
Se 0.087 0.962 0.676
Se 0.089 0.714 0.676
Se 0.089 0.875 0.413
Se 0.125 0.038 0.214
Se 0.125 0.587 0.911
Se 0.176 0.214 0.589
Se 0.176 0.462 0.587
Se 0.214 0.125 0.038
Se 0.214 0.589 0.176
Se 0.286 0.324 0.911
Se 0.286 0.462 0.375
Se 0.324 0.911 0.286
Se 0.324 0.913 0.038
Se 0.375 0.286 0.462
Se 0.375 0.589 0.913
Se 0.411 0.087 0.625
Se 0.411 0.824 0.786
Se 0.413 0.089 0.875
Se 0.413 0.824 0.538
Se 0.462 0.375 0.286
Se 0.462 0.587 0.176
Se 0.538 0.413 0.824
Se 0.538 0.625 0.714
Se 0.587 0.176 0.462
Se 0.587 0.911 0.125
Se 0.589 0.176 0.214
Se 0.589 0.913 0.375
Se 0.625 0.411 0.087
Se 0.625 0.714 0.538
Se 0.676 0.087 0.962
Se 0.676 0.089 0.714
Se 0.714 0.538 0.625
Se 0.714 0.676 0.089
Se 0.786 0.411 0.824
Se 0.786 0.875 0.962
Se 0.824 0.538 0.413
Se 0.824 0.786 0.411
Se 0.875 0.413 0.089
Se 0.875 0.962 0.786
Se 0.911 0.125 0.587
Se 0.911 0.286 0.324
Se 0.913 0.038 0.324
Se 0.913 0.375 0.589
Se 0.962 0.676 0.087
Se 0.962 0.786 0.875
CELL_PARAMETERS angstrom
-8.238 8.238 8.238
8.238 -8.238 8.238
8.238 8.238 -8.238
```


# 2
An optimized crystal structure of CdIn2SnHg4. Source: the Alexandria database, functional GGA-PBE. Values from VASP.

**Energy of formation from the pure elements**: 0.04 eV per atom
**Calculated volume**: 28.03 Å³/atom

Structure (Quantum ESPRESSO input):
```
&SYSTEM
  ibrav = 0, nat = 8, ntyp = 4
/
ATOMIC_SPECIES
Cd 112.41 Cd.upf
In 114.82 In.upf
Sn 118.71 Sn.upf
Hg 200.59 Hg.upf
ATOMIC_POSITIONS crystal
Cd 0.000 0.000 0.000
In 0.500 0.500 0.000
In 0.750 0.250 0.500
Sn 0.250 0.750 0.500
Hg 0.001 0.501 0.500
Hg 0.248 0.248 0.000
Hg 0.499 0.999 0.500
Hg 0.752 0.752 0.000
CELL_PARAMETERS angstrom
-3.055 3.055 6.009
3.055 -3.055 6.009
3.055 3.055 -6.009
```


# 3
An optimized crystal structure of NaInC. Source: the Alexandria database, functional GGA-PBE. Values from VASP.

**Energy of formation from the pure elements**: 0.92 eV per atom
**Calculated volume**: 20.57 Å³/atom

Structure (Quantum ESPRESSO input):
```
&SYSTEM
  ibrav = 0, nat = 6, ntyp = 3
/
ATOMIC_SPECIES
Na 22.99 Na.upf
In 114.82 In.upf
C 12.01 C.upf
ATOMIC_POSITIONS crystal
Na 0.250 0.250 0.000
Na 0.750 0.750 0.000
In 0.000 0.500 0.500
In 0.500 0.000 0.500
C 0.250 0.750 0.755
C 0.750 0.250 0.245
CELL_PARAMETERS angstrom
3.084 -3.483 0.000
3.084 3.483 0.000
0.000 0.000 5.746
```


# 4
An optimized crystal structure of CdCoCl2. Source: the Alexandria database, functional GGA-PBE. Values from VASP.

**DFT total energy**: -3.28 eV/atom
**Calculated volume**: 23.00 Å³/atom

Structure (Quantum ESPRESSO input):
```
&SYSTEM
  ibrav = 0, nat = 4, ntyp = 3
/
ATOMIC_SPECIES
Cd 112.41 Cd.upf
Co 58.93 Co.upf
Cl 35.45 Cl.upf
ATOMIC_POSITIONS crystal
Cd 0.000 0.000 0.000
Co 0.500 0.500 0.500
Cl 0.116 0.116 0.116
Cl 0.884 0.884 0.884
CELL_PARAMETERS angstrom
1.696 0.979 9.232
-1.696 0.979 9.232
0.000 -1.958 9.232
```


# 5
An optimized crystal structure of Pu2MgGa4Pt3. Source: the Alexandria database, functional GGA-PBE. Values from VASP.

**Energy of formation from the pure elements**: -0.66 eV per atom
**Calculated volume**: 19.41 Å³/atom

Structure (Quantum ESPRESSO input):
```
&SYSTEM
  ibrav = 0, nat = 10, ntyp = 4
/
ATOMIC_SPECIES
Pu 244.00 Pu.upf
Mg 24.30 Mg.upf
Ga 69.72 Ga.upf
Pt 195.08 Pt.upf
ATOMIC_POSITIONS crystal
Pu 0.000 0.500 0.239
Pu 0.500 0.000 0.761
Mg 0.000 0.000 0.500
Ga 0.000 0.000 0.000
Ga 0.000 0.500 0.645
Ga 0.500 0.000 0.355
Ga 0.500 0.500 0.000
Pt 0.000 0.500 0.862
Pt 0.500 0.000 0.138
Pt 0.500 0.500 0.500
CELL_PARAMETERS angstrom
4.090 0.000 0.000
0.000 4.090 0.000
0.000 0.000 11.606
```


# 6
An optimized crystal structure of CaSmIn4. Source: the Alexandria database, functional GGA-PBE. Values from VASP.

**Energy of formation from the pure elements**: -0.35 eV per atom
**Calculated volume**: 26.67 Å³/atom

Structure (Quantum ESPRESSO input):
```
&SYSTEM
  ibrav = 0, nat = 6, ntyp = 3
/
ATOMIC_SPECIES
Ca 40.08 Ca.upf
Sm 150.36 Sm.upf
In 114.82 In.upf
ATOMIC_POSITIONS crystal
Ca 0.000 0.000 0.000
Sm 0.250 0.250 0.250
In 0.126 0.625 0.625
In 0.625 0.126 0.625
In 0.625 0.625 0.126
In 0.625 0.625 0.625
CELL_PARAMETERS angstrom
0.000 4.309 4.309
4.309 0.000 4.309
4.309 4.309 0.000
```


# 7
An optimized crystal structure of MgTi2HPb. Source: the Alexandria database, functional GGA-PBE. Values from VASP.

**DFT total energy**: -3.47 eV/atom
**Calculated volume**: 31.15 Å³/atom

Structure (Quantum ESPRESSO input):
```
&SYSTEM
  ibrav = 0, nat = 5, ntyp = 4
/
ATOMIC_SPECIES
Mg 24.30 Mg.upf
Ti 47.87 Ti.upf
H 1.01 H.upf
Pb 207.20 Pb.upf
ATOMIC_POSITIONS crystal
Mg 0.000 0.000 0.000
Ti 0.000 0.500 0.500
Ti 0.500 0.000 0.500
H 0.500 0.500 0.000
Pb 0.000 0.000 0.500
CELL_PARAMETERS angstrom
5.410 0.000 0.000
0.000 5.410 0.000
0.000 0.000 5.321
```


# 8
An optimized crystal structure of MnIn2P. Source: the Alexandria database, functional GGA-PBE. Values from VASP.

**Energy of formation from the pure elements**: 0.42 eV per atom
**Calculated volume**: 20.67 Å³/atom

Structure (Quantum ESPRESSO input):
```
&SYSTEM
  ibrav = 0, nat = 4, ntyp = 3
/
ATOMIC_SPECIES
Mn 54.94 Mn.upf
In 114.82 In.upf
P 30.97 P.upf
ATOMIC_POSITIONS crystal
Mn 0.000 0.000 0.000
In 0.500 0.500 0.500
In 0.750 0.750 0.750
P 0.250 0.250 0.250
CELL_PARAMETERS angstrom
0.000 3.458 3.458
3.458 0.000 3.458
3.458 3.458 0.000
```


What is the formula in the sixth record? CaSmIn4